Entry 1:
Compound: Mg2FeAg
Source: the Alexandria database
Functional: GGA-PBE
Structure: relaxed

Properties
The calculation puts the formation enthalpy at 0 K at 0.218 eV per atom.

abc: 2.9405 2.9405 28.7050
angles: 90.00 90.00 120.00
Last column: nearest neighbours and their distance in Å.
Space group R3m (No. 160, hexagonal axes)
Inequivalent atoms, fractional coordinates:
Mg 0.0000 0.0000 0.0000 (multiplicity 3)  3 Fe 2.75, 6 Mg 2.94
Mg 0.0000 0.0000 0.2358 (multiplicity 3)  3 Ag 2.92, 6 Mg 2.94
Fe 0.0000 0.0000 0.7422 (multiplicity 3)  3 Mg 2.75, 3 Ag 2.80, 6 Fe 2.94
Ag 0.0000 0.0000 0.4863 (multiplicity 3)  3 Fe 2.80, 3 Mg 2.92, 6 Ag 2.94

***

Entry 2:
Compound: TaCrCu2
Source: the Alexandria database
Functional: GGA-PBE
Structure: relaxed

Properties
The calculation puts the formation enthalpy at 0 K at 0.271 eV per atom. Its offset from the most stable computed form is 84 meV/atom.

abc: 5.1925 7.8014 2.6892
angles: 90.00 90.00 90.00
Last column: nearest neighbours and their distance in Å.
Space group Cmmm (No. 65)
Inequivalent atoms, fractional coordinates:
Ta 0.0000 0.0000 0.0000 (multiplicity 2)  2 Cr 2.60, 2 Ta 2.69, 8 Cu 2.70
Cr 0.0000 0.5000 0.0000 (multiplicity 2)  2 Ta 2.60, 2 Cr 2.69, 8 Cu 2.70
Cu 0.2500 0.2500 0.5000 (multiplicity 4)  4 Cu 2.60-2.69, 4 Cr 2.70, 4 Ta 2.70

***

Entry 3:
Compound: La2AsRh
Source: the Alexandria database
Functional: GGA-PBE
Structure: relaxed

Properties
The calculation puts the formation enthalpy at 0 K at -1.072 eV per atom.

abc: 4.3818 4.1560 11.2359
angles: 90.00 90.00 90.00
Last column: nearest neighbours and their distance in Å.
Space group Amm2 (No. 38)
Inequivalent atoms, fractional coordinates:
La 0.0000 0.0000 0.0000 (multiplicity 2)  4 Rh 3.06, 3 As 3.19
La 0.5000 0.0000 0.2745 (multiplicity 2)  3 Rh 3.00-3.34, 4 As 3.09
As 0.0000 0.0000 0.7160 (multiplicity 2)  2 Rh 2.94, 7 La 3.09-3.19
Rh 0.5000 0.0000 0.5418 (multiplicity 2)  2 As 2.94, 5 La 3.00-3.06

***

Entry 4:
Compound: Tm3BI3
Source: the Alexandria database
Functional: GGA-PBE
Structure: relaxed

Properties
For the formation energy from raw total energies, the calculation gives -925.1 meV/atom.

abc: 11.6323 11.6323 11.6323
angles: 90.00 90.00 90.00
Last column: nearest neighbours and their distance in Å.
Space group I4_132 (No. 214)
Inequivalent atoms, fractional coordinates:
Tm 0.0970 0.3470 0.1250 (multiplicity 24)  2 B 2.60
B 0.1250 0.1250 0.1250 (multiplicity 8)  6 Tm 2.60
I 0.1164 0.1336 0.6250 (multiplicity 24)  4 Tm 3.06-3.26

***

Entry 5:
Compound: Ce2DyGa2Cu2
Source: the Alexandria database
Functional: GGA-PBE
Structure: relaxed

Properties
The calculation puts the formation enthalpy at 0 K at -0.414 eV per atom.

abc: 4.2960 4.2960 26.5158
angles: 90.00 90.00 120.00
Last column: nearest neighbours and their distance in Å.
Space group R-3m (No. 166, hexagonal axes)
Inequivalent atoms, fractional coordinates:
Ce 0.0000 0.0000 0.1395 (multiplicity 6)  3 Ce 2.87, 3 Cu 3.09, 3 Ga 3.09
Dy 0.0000 0.0000 0.0000 (multiplicity 3)  6 Ga 3.10, 6 Cu 3.10
Ga 0.0000 0.0000 0.2634 (multiplicity 6)  3 Cu 2.48
Cu 0.0000 0.0000 0.4036 (multiplicity 6)  3 Ga 2.48

***

Entry 6:
Compound: NdMg2Zn
Source: the Alexandria database
Functional: GGA-PBE
Structure: relaxed

Properties
The calculation puts the formation enthalpy at 0 K at 0.193 eV per atom.

abc: 3.2136 3.2136 33.4148
angles: 90.00 90.00 120.00
Last column: nearest neighbours and their distance in Å.
Space group R-3m (No. 166, hexagonal axes)
Inequivalent atoms, fractional coordinates:
Nd 0.0000 0.0000 0.0000 (multiplicity 3)  6 Nd 3.21, 2 Mg 3.30
Mg 0.0000 0.0000 0.0988 (multiplicity 6)  3 Zn 2.93, 6 Mg 3.21
Zn 0.0000 0.0000 0.5000 (multiplicity 3)  6 Mg 2.93, 6 Zn 3.21